[1]
A geometry-optimized TmMg3Pb6 structure. Source: Alexandria, functional PBE.

Fermi-level density of states: 5.49 states/eV/f.u.
total magnetic moment: 0.00 μB per atom
space-group type: No. 11
ΔE_f: -0.090 eV/atom

POSCAR file:
```
TmMg3Pb6
1.0
10.229 0.000 0.000
0.000 4.849 0.000
-1.095 0.000 11.123
Tm Mg Pb
2 6 12
Direct
0.060 0.250 0.392
0.940 0.750 0.608
0.249 0.250 0.004
0.346 0.750 0.803
0.445 0.250 0.600
0.555 0.750 0.400
0.654 0.250 0.197
0.751 0.750 0.996
0.061 0.750 0.903
0.158 0.250 0.699
0.158 0.750 0.200
0.259 0.750 0.508
0.372 0.250 0.305
0.457 0.750 0.096
0.543 0.250 0.904
0.628 0.750 0.695
0.741 0.250 0.492
0.842 0.250 0.800
0.842 0.750 0.301
0.939 0.250 0.097
```


[2]
A geometry-optimized Tm2MgPb structure. Source: Alexandria, functional PBE.

Fermi-level density of states: 2.70 states/eV/f.u.
total magnetic moment: 0.00 μB per atom
space-group type: No. 123
ΔE_f: -0.274 eV/atom

POSCAR file:
```
Tm2MgPb
1.0
4.839 0.000 0.000
0.000 4.839 0.000
0.000 0.000 4.482
Tm Mg Pb
2 1 1
Direct
0.000 0.500 0.000
0.500 0.000 0.000
0.000 0.000 0.500
0.500 0.500 0.500
```


[3]
A geometry-optimized TmMg2Pb2 structure. Source: Alexandria, functional PBE.

Fermi-level density of states: 3.33 states/eV/f.u.
total magnetic moment: 0.00 μB per atom
space-group type: No. 194
ΔE_f: 0.032 eV/atom

POSCAR file:
```
TmMg2Pb2
1.0
5.094 0.000 0.000
-2.547 4.411 0.000
0.000 0.000 12.798
Tm Mg Pb
2 4 4
Direct
0.000 0.000 0.250
0.000 0.000 0.750
0.000 0.000 0.000
0.000 0.000 0.500
0.333 0.667 0.250
0.667 0.333 0.750
0.333 0.667 0.620
0.333 0.667 0.880
0.667 0.333 0.120
0.667 0.333 0.380
```


[4]
A geometry-optimized Tm2MgPb2 structure. Source: Alexandria, functional PBE.

Fermi-level density of states: 2.26 states/eV/f.u.
total magnetic moment: 0.00 μB per atom
space-group type: No. 12
ΔE_f: -0.154 eV/atom

POSCAR file:
```
Tm2MgPb2
1.0
6.804 -2.982 0.000
6.804 2.982 0.000
-5.010 0.000 7.362
Tm Mg Pb
4 2 4
Direct
0.144 0.144 0.492
0.319 0.319 0.258
0.681 0.681 0.742
0.856 0.856 0.508
0.368 0.368 0.941
0.632 0.632 0.059
0.125 0.125 0.837
0.421 0.421 0.673
0.579 0.579 0.327
0.875 0.875 0.163
```


[5]
A geometry-optimized Tm4MgPb structure. Source: Alexandria, functional PBE.

Fermi-level density of states: 10.86 states/eV/f.u.
total magnetic moment: 0.00 μB per atom
space-group type: No. 166
ΔE_f: 0.165 eV/atom

POSCAR file:
```
Tm4MgPb
1.0
2.558 1.477 8.499
-2.558 1.477 8.499
0.000 -2.953 8.499
Tm Mg Pb
4 1 1
Direct
0.122 0.122 0.122
0.372 0.372 0.372
0.628 0.628 0.628
0.878 0.878 0.878
0.000 0.000 0.000
0.500 0.500 0.500
```


[6]
A geometry-optimized Tm3Mg2Pb4 structure. Source: Alexandria, functional PBE.

Fermi-level density of states: 2.72 states/eV/f.u.
total magnetic moment: 0.00 μB per atom
space-group type: No. 2
ΔE_f: -0.324 eV/atom

POSCAR file:
```
Tm3Mg2Pb4
1.0
4.667 0.000 0.000
-0.002 7.025 0.000
-2.331 -2.954 7.430
Tm Mg Pb
3 2 4
Direct
0.000 0.000 0.000
0.123 0.614 0.245
0.877 0.386 0.755
0.329 0.999 0.659
0.671 0.001 0.341
0.223 0.280 0.444
0.479 0.699 0.958
0.521 0.301 0.042
0.777 0.720 0.556
```